Ca2GaTe2 | meta-GGA SCAN | PBEsol geometry

Calculated values
The uncorrected formation energy is -1.088 eV per atom. For the total DFT energy (no corrections), the calculation gives -23.1231 eV per atom.

a = 8.415 Å, b = 8.415 Å, c = 4.045 Å
α = 90.00°, β = 90.00°, γ = 90.00°
Element x y z (fractional)
Ca (0.152, 0.348, 0.000)
Ca (0.348, 0.848, 0.000)
Ca (0.652, 0.152, 0.000)
Ca (0.848, 0.652, 0.000)
Ga (0.000, 0.000, 0.500)
Ga (0.500, 0.500, 0.500)
Te (0.153, 0.653, 0.500)
Te (0.347, 0.153, 0.500)
Te (0.653, 0.847, 0.500)
Te (0.847, 0.347, 0.500)